1.
Entry from the Alexandria database: a PBEsol-optimized structure of Al5In (SCAN).

Results
The value obtained for the total moment is 0.0043 μB/atom. The calculation puts the density of states at the Fermi level at 2.675 states/eV/f.u. As for the space group: Amm2. Its distance to the lowest polymorph of the same formula is 39 meV per atom. The formation energy from the elements comes out at 0.71 eV/f.u. The total energy is -11.906 eV/atom.

abc: 2.929 4.678 8.043
angles: 90.00 100.49 90.00
Atoms (fractional coordinates):
In  0.108  0.500  0.216
Al  0.785  0.500  0.571
Al  0.991  0.000  0.981
Al  0.679  0.000  0.358
Al  0.333  0.000  0.666
Al  0.438  0.500  0.875

2.
Entry from the Alexandria database: a PBEsol-optimized structure of Al3In (SCAN).

Results
The value obtained for the total moment is 0.0001 μB/atom. The calculation puts the density of states at the Fermi level at 1.821 states/eV/f.u. As for the space group: R-3m. The formation energy from the elements comes out at 0.56 eV/f.u. The total energy is -14.020 eV/atom.

abc: 2.963 2.963 9.989
angles: 81.47 81.47 60.00
Atoms (fractional coordinates):
Al  0.244  0.244  0.269
Al  0.756  0.756  0.731
Al  0.500  0.500  0.500
In  0.000  0.000  0.000

3.
Entry from the Alexandria database: a PBEsol-optimized structure of AlIn2 (SCAN).

Results
The value obtained for the total moment is 0.0000 μB/atom. The calculation puts the density of states at the Fermi level at 1.205 states/eV/f.u. As for the space group: I4/mcm. The formation energy from the elements comes out at 0.27 eV/f.u. The total energy is -24.751 eV/atom.

abc: 5.348 5.724 5.724
angles: 77.40 62.15 62.15
Atoms (fractional coordinates):
In  0.153  0.500  0.194
Al  0.250  0.000  0.000
In  0.347  0.806  0.500
In  0.653  0.194  0.500
Al  0.750  0.000  0.000
In  0.847  0.500  0.806

4.
Entry from the Alexandria database: a PBEsol-optimized structure of AlIn7 (SCAN).

Results
The value obtained for the total moment is 0.0000 μB/atom. The calculation puts the density of states at the Fermi level at 3.122 states/eV/f.u. As for the space group: Fm-3m. The formation energy from the elements comes out at 0.95 eV/f.u. The total energy is -30.063 eV/atom.

abc: 6.499 6.499 6.499
angles: 60.00 60.00 60.00
Atoms (fractional coordinates):
In  0.000  0.000  0.500
In  0.000  0.500  0.000
In  0.500  0.500  0.000
In  0.500  0.500  0.500
In  0.500  0.000  0.000
In  0.500  0.000  0.500
In  0.000  0.500  0.500
Al  0.000  0.000  0.000

5.
Entry from the Alexandria database: a PBEsol-optimized structure of Al5In (SCAN).

Results
The value obtained for the total moment is 0.0056 μB/atom. The calculation puts the density of states at the Fermi level at 2.246 states/eV/f.u. As for the space group: C2/m. Its distance to the lowest polymorph of the same formula is 3 meV per atom. The formation energy from the elements comes out at 0.50 eV/f.u. The total energy is -11.941 eV/atom.

abc: 2.962 5.002 7.850
angles: 75.62 79.13 72.78
Atoms (fractional coordinates):
Al  0.166  0.982  0.685
Al  0.500  0.000  0.000
Al  0.831  0.491  0.848
In  0.500  0.500  0.500
Al  0.834  0.018  0.315
Al  0.169  0.509  0.152

6.
Entry from the Alexandria database: a PBEsol-optimized structure of AlIn5 (SCAN).

Results
The value obtained for the total moment is 0.0000 μB/atom. The calculation puts the density of states at the Fermi level at 2.794 states/eV/f.u. As for the space group: P4/mmm. The formation energy from the elements comes out at 0.60 eV/f.u. The total energy is -29.014 eV/atom.

abc: 3.191 3.191 14.080
angles: 90.00 90.00 90.00
Atoms (fractional coordinates):
In  0.500  0.500  0.324
In  0.000  0.000  0.500
In  0.000  0.000  0.147
In  0.500  0.500  0.676
Al  0.500  0.500  0.000
In  0.000  0.000  0.853

7.
Entry from the Alexandria database: a PBEsol-optimized structure of Al3In (SCAN).

Results
The value obtained for the total moment is 0.0056 μB/atom. The calculation puts the density of states at the Fermi level at 1.688 states/eV/f.u. As for the space group: Imm2. The formation energy from the elements comes out at 0.62 eV/f.u. The total energy is -14.006 eV/atom.

abc: 2.976 5.093 5.771
angles: 116.19 104.94 90.00
Atoms (fractional coordinates):
In  0.000  0.648  0.000
Al  0.500  0.158  0.000
Al  0.763  0.776  0.526
Al  0.237  0.251  0.474

8.
Entry from the Alexandria database: a PBEsol-optimized structure of Al5In (SCAN).

Results
The value obtained for the total moment is 0.0000 μB/atom. The calculation puts the density of states at the Fermi level at 2.315 states/eV/f.u. As for the space group: P4/mmm. Its distance to the lowest polymorph of the same formula is 0 meV per atom. The formation energy from the elements comes out at 0.48 eV/f.u. The total energy is -11.945 eV/atom.

abc: 2.961 2.961 12.164
angles: 90.00 90.00 90.00
Atoms (fractional coordinates):
In  0.500  0.500  0.000
Al  0.000  0.000  0.189
Al  0.000  0.000  0.500
Al  0.500  0.500  0.656
Al  0.500  0.500  0.344
Al  0.000  0.000  0.811

9.
Entry from the Alexandria database: a PBEsol-optimized structure of AlIn2 (SCAN).

Results
The value obtained for the total moment is 0.0000 μB/atom. The calculation puts the density of states at the Fermi level at 1.386 states/eV/f.u. As for the space group: P-3m1. The formation energy from the elements comes out at 0.62 eV/f.u. The total energy is -24.633 eV/atom.

abc: 3.262 4.938 4.938
angles: 120.00 90.00 90.00
Atoms (fractional coordinates):
Al  0.000  0.000  0.000
In  0.291  0.333  0.667
In  0.709  0.667  0.333

10.
Entry from the Alexandria database: a PBEsol-optimized structure of AlIn5 (SCAN).

Results
The value obtained for the total moment is 0.0000 μB/atom. The calculation puts the density of states at the Fermi level at 3.346 states/eV/f.u. As for the space group: P6/mmm. The formation energy from the elements comes out at 2.10 eV/f.u. The total energy is -28.764 eV/atom.

abc: 5.338 5.936 5.936
angles: 120.00 90.00 90.00
Atoms (fractional coordinates):
In  0.500  0.500  0.500
Al  0.000  0.000  0.000
In  0.500  0.000  0.500
In  0.500  0.500  0.000
In  0.000  0.667  0.333
In  0.000  0.333  0.667

11.
Entry from the Alexandria database: a PBEsol-optimized structure of Al2InIr (SCAN).

Results
The value obtained for the total moment is 0.0000 μB/atom. The calculation puts the density of states at the Fermi level at 1.815 states/eV/f.u. As for the space group: R-3m. The formation energy from the elements comes out at -1.25 eV/f.u. The total energy is -30.309 eV/atom.

abc: 3.019 3.019 8.758
angles: 80.08 80.08 60.00
Atoms (fractional coordinates):
Al  0.739  0.739  0.784
Al  0.261  0.261  0.216
Ir  0.000  0.000  0.000
In  0.500  0.500  0.500

12.
Entry from the Alexandria database: a PBEsol-optimized structure of Al2InIr (SCAN).

Results
The value obtained for the total moment is 0.0000 μB/atom. The calculation puts the density of states at the Fermi level at 1.453 states/eV/f.u. As for the space group: Amm2. The formation energy from the elements comes out at -1.21 eV/f.u. The total energy is -30.300 eV/atom.

abc: 3.112 4.344 5.173
angles: 90.00 107.50 90.00
Atoms (fractional coordinates):
Al  0.410  0.500  0.194
In  0.082  0.000  0.539
Ir  0.691  0.500  0.757
Al  0.817  0.000  0.010

Q: Which value of total moment does entry 4 give?
A: 0.0000 μB/atom

Copy entry 4 word for word.
Entry from the Alexandria database: a PBEsol-optimized structure of AlIn7 (SCAN).

Results
The value obtained for the total moment is 0.0000 μB/atom. The calculation puts the density of states at the Fermi level at 3.122 states/eV/f.u. As for the space group: Fm-3m. The formation energy from the elements comes out at 0.95 eV/f.u. The total energy is -30.063 eV/atom.

abc: 6.499 6.499 6.499
angles: 60.00 60.00 60.00
Atoms (fractional coordinates):
In  0.000  0.000  0.500
In  0.000  0.500  0.000
In  0.500  0.500  0.000
In  0.500  0.500  0.500
In  0.500  0.000  0.000
In  0.500  0.000  0.500
In  0.000  0.500  0.500
Al  0.000  0.000  0.000

Q: Look up the total moment of the seventh one.
A: 0.0056 μB/atom